# Rb3WF8 PBE+U optimized geometry
data_Rb3WF8
_chemical_formula_sum 'Rb3 W1 F8'
_symmetry_space_group_name_H-M 'P m -3 m'
_symmetry_Int_Tables_number 221
_symmetry_space_group_name_Hall '-P 4 2 3'
_cell_length_a 6.0740
_cell_length_b 6.0740
_cell_length_c 6.0740
_cell_angle_alpha 90.00
_cell_angle_beta 90.00
_cell_angle_gamma 90.00
loop_
_atom_site_label
_atom_site_type_symbol
_atom_site_fract_x
_atom_site_fract_y
_atom_site_fract_z
Rb1 Rb 0.0000 0.0000 0.5000
W1 W 0.5000 0.5000 0.5000
F1 F 0.3026 0.3026 0.3026
# Calculated density, g/cm3: 4.4
# Total energy, eV/cell: -57.15